No. 1
The following is a PBE calculation of HoZnNi after structural relaxation, from OQMD via LeMat-Bulk.

## Properties
- Total moment: 0.002 μB/cell
- DFT formation energy: 276 meV per atom
- Space-group type: F-43m (216)

```
HoZnNi
1.0
0.000 3.195 3.195
3.195 0.000 3.195
3.195 3.195 0.000
Ho Ni Zn
1 1 1
Direct
0.000 0.000 0.000
0.250 0.250 0.250
0.750 0.750 0.750
```


No. 2
The following is a PBE calculation of Ho2Zn5Ni5 after structural relaxation, from OQMD via LeMat-Bulk.

## Properties
- Total moment: 0.000 μB/cell
- DFT formation energy: -404 meV per atom
- Space-group type: Pmmm (47)

```
Ho2Zn5Ni5
1.0
4.060 0.000 0.000
0.000 5.078 0.000
0.000 0.000 8.710
Zn Ni Ho
5 5 2
Direct
0.500 0.000 0.500
0.500 0.748 0.244
0.500 0.252 0.244
0.500 0.252 0.756
0.500 0.748 0.756
0.000 0.000 0.667
0.000 0.500 0.161
0.000 0.000 0.333
0.000 0.500 0.839
0.500 0.500 0.000
0.000 0.000 0.000
0.000 0.500 0.500
```